1.
Compound: RbAgGeTe2S
Source: OQMD
Functional: PBE
Structure: relaxed

Properties
- Electronic total energy: -80.666 eV/cell

a b c (Å): 3.8538 16.0093 11.3710
angles (deg): 90.00 90.00 90.00
With the nearest neighbours (Å) after each atom.
Space group Cmcm (No. 63)
Asymmetric unit:
1 Rb 0.0000 0.2282 0.2500 (multiplicity 4)  2 S 3.41, 2 Te 3.60
2 Ag 0.0000 0.0458 0.7500 (multiplicity 4)  2 S 2.49
3 Ge 0.0000 0.5000 0.0000 (multiplicity 4)  4 Te 2.85, 2 S 2.96
4 Te 0.0000 0.1293 0.5344 (multiplicity 8)  1 Ag 2.79, 2 Ge 2.85
5 S 0.0000 0.4477 0.7500 (multiplicity 4)  2 Ag 2.49

***

2.
Compound: Hf2Tl2O5
Source: OQMD
Functional: PBE
Structure: relaxed

Properties
- ΔE to the lowest computed polymorph: 0 kJ/mol of formula units
- Electronic total energy: -70.819 eV/cell

a b c (Å): 4.0257 4.0257 8.9168
angles (deg): 90.00 90.00 90.00
With the nearest neighbours (Å) after each atom.
Space group P4/mmm (No. 123)
Asymmetric unit:
1 Hf 0.0000 0.0000 0.2240 (multiplicity 2)  5 O 2.00-2.05
2 Tl 0.5000 0.5000 0.0000 (multiplicity 1)  12 O 2.85-3.13
3 Tl 0.5000 0.5000 0.5000 (multiplicity 1)  8 O 2.88
4 O 0.0000 0.0000 0.0000 (multiplicity 1)  2 Hf 2.00
5 O 0.0000 0.5000 0.2695 (multiplicity 4)  2 Hf 2.05

***

3.
Compound: FeBi10Te10
Source: OQMD
Functional: PBE
Structure: relaxed

Properties
- Electronic total energy: -160.398 eV/cell

a b c (Å): 12.3240 13.4197 8.7816
angles (deg): 90.00 90.00 90.00
With the nearest neighbours (Å) after each atom.
Space group Pbam (No. 55)
Asymmetric unit:
1 Fe 0.0000 0.0000 0.0000 (multiplicity 2)  6 Bi 2.62-2.68
2 Bi 0.0000 0.5000 0.2506 (multiplicity 4)  6 Te 3.12-3.25
3 Bi 0.1273 0.0708 0.2137 (multiplicity 8)  1 Fe 2.62
4 Bi 0.1329 0.8419 0.0000 (multiplicity 4)  1 Fe 2.68
5 Bi 0.2301 0.9244 0.5000 (multiplicity 4)  4 Te 3.09-3.13, 2 Bi 3.43
6 Te 0.0040 0.1593 0.5000 (multiplicity 4)  3 Bi 3.10-3.17, 1 Te 3.40
7 Te 0.1268 0.6174 0.5000 (multiplicity 4)  3 Bi 3.12-3.13, 1 Te 3.40
8 Te 0.1498 0.5999 0.0000 (multiplicity 4)  5 Bi 3.17-3.35
9 Te 0.1702 0.3158 0.2226 (multiplicity 8)  4 Bi 3.09-3.33

***

4.
Compound: Li2LuAg
Source: OQMD
Functional: PBE
Structure: relaxed

Properties
- Electronic total energy: -45.422 eV/cell

a b c (Å): 6.8052 6.8052 6.8052
angles (deg): 90.00 90.00 90.00
With the nearest neighbours (Å) after each atom.
Space group F-43m (No. 216)
Asymmetric unit:
1 Li 0.0000 0.0000 0.0000 (multiplicity 4)  4 Li 2.95, 4 Ag 2.95
2 Li 0.2500 0.2500 0.2500 (multiplicity 4)  4 Li 2.95, 4 Lu 2.95
3 Lu 0.0000 0.0000 0.5000 (multiplicity 4)  4 Li 2.95, 4 Ag 2.95
4 Ag 0.2500 0.2500 0.7500 (multiplicity 4)  4 Li 2.95, 4 Lu 2.95